Compound: RbSr2Y
Source: the Alexandria database
Functional: PBE
Structure: relaxed

a = 6.571 Å, b = 6.571 Å, c = 6.571 Å
α = 60.00°, β = 60.00°, γ = 60.00°
Sites, in units of the cell vectors:
Y 0.500 0.500 0.500
Sr 0.250 0.250 0.250
Sr 0.750 0.750 0.750
Rb 0.000 0.000 0.000

Output
**VASP energy**: -2.309 eV/atom
**D(E_F)**: 4.9 states/eV/cell
**Energy above the most stable polymorph in this dataset**: 0 meV/atom
**Space group**: Fm-3m, No. 225


Compound: RbSr2Y
Source: the Alexandria database
Functional: PBE
Structure: relaxed

a = 5.463 Å, b = 5.463 Å, c = 14.354 Å
α = 79.03°, β = 79.03°, γ = 90.00°
Sites, in units of the cell vectors:
Y 0.000 0.000 0.000
Y 0.750 0.250 0.500
Sr 0.634 0.125 0.250
Sr 0.116 0.625 0.250
Sr 0.375 0.366 0.750
Sr 0.875 0.884 0.750
Rb 0.500 0.500 0.000
Rb 0.250 0.750 0.500

Output
**VASP energy**: -2.042 eV/atom
**D(E_F)**: 9.7 states/eV/cell
**Energy above the most stable polymorph in this dataset**: 267 meV/atom
**Space group**: I-42d, No. 122


Compound: RbSrY2
Source: the Alexandria database
Functional: PBE
Structure: relaxed

a = 6.226 Å, b = 6.226 Å, c = 6.226 Å
α = 60.00°, β = 60.00°, γ = 60.00°
Sites, in units of the cell vectors:
Y 0.250 0.250 0.250
Y 0.750 0.750 0.750
Sr 0.500 0.500 0.500
Rb 0.000 0.000 0.000

Output
**VASP energy**: -3.260 eV/atom
**D(E_F)**: 5.5 states/eV/cell
**Energy above the most stable polymorph in this dataset**: 0 meV/atom
**Space group**: Fm-3m, No. 225


Compound: RbSrZn
Source: the Alexandria database
Functional: PBE
Structure: relaxed

a = 4.196 Å, b = 4.196 Å, c = 8.384 Å
α = 104.49°, β = 104.49°, γ = 90.00°
Sites, in units of the cell vectors:
Sr 0.285 0.285 0.570
Zn 0.689 0.689 0.378
Rb 0.026 0.026 0.052

Output
**VASP energy**: -1.240 eV/atom
**D(E_F)**: 4.2 states/eV/cell
**Energy above the most stable polymorph in this dataset**: 0 meV/atom
**Space group**: I4mm, No. 107


Compound: RbSrZn2
Source: the Alexandria database
Functional: PBE
Structure: relaxed

a = 9.044 Å, b = 9.044 Å, c = 7.495 Å
α = 52.89°, β = 52.89°, γ = 90.00°
Sites, in units of the cell vectors:
Sr 0.000 0.000 0.000
Sr 0.750 0.250 0.500
Zn 0.645 0.125 0.250
Zn 0.105 0.625 0.250
Zn 0.375 0.355 0.750
Zn 0.875 0.895 0.750
Rb 0.500 0.500 0.000
Rb 0.250 0.750 0.500

Output
**VASP energy**: -1.019 eV/atom
**D(E_F)**: 8.8 states/eV/cell
**Energy above the most stable polymorph in this dataset**: 141 meV/atom
**Space group**: I-42d, No. 122


Compound: Rb2SrZn2
Source: the Alexandria database
Functional: PBE
Structure: relaxed

a = 8.483 Å, b = 8.483 Å, c = 6.072 Å
α = 90.00°, β = 90.00°, γ = 90.00°
Sites, in units of the cell vectors:
Sr 0.000 0.000 0.000
Sr 0.500 0.500 0.000
Zn 0.390 0.890 0.000
Zn 0.890 0.610 0.000
Zn 0.610 0.110 0.000
Zn 0.110 0.390 0.000
Rb 0.172 0.672 0.500
Rb 0.672 0.828 0.500
Rb 0.828 0.328 0.500
Rb 0.328 0.172 0.500

Output
**VASP energy**: -1.119 eV/atom
**D(E_F)**: 5.8 states/eV/cell
**Energy above the most stable polymorph in this dataset**: 0 meV/atom
**Space group**: P4/mbm, No. 127


Number 1: ΔE_f 1.56 eV per formula unit. Number 2: ΔE_f 2.63 eV per formula unit. Number 3: ΔE_f 2.54 eV per formula unit. Number 4: ΔE_f 0.20 eV per formula unit. Number 5: ΔE_f 1.12 eV per formula unit. Number 6: ΔE_f 0.57 eV per formula unit.